1.
GdDyNi2B2As2 after structural relaxation, computed with GGA-PBE.

Values from the calculation:
**E**: -6.03 eV/atom

Lattice parameters (Å, degrees): 3.953 3.953 8.129 90.00 90.00 90.00
Space group P4mm (No. 99)
Symmetry-distinct sites (fractional):
1 Gd 0.000 0.000 0.000 [1 per cell]
2 Dy 0.500 0.500 0.552 [1 per cell]
3 Ni 0.000 0.500 0.277 [2 per cell]
4 B 0.000 0.000 0.363 [1 per cell]
5 B 0.500 0.500 0.187 [1 per cell]
6 As 0.000 0.000 0.622 [1 per cell]
7 As 0.500 0.500 0.927 [1 per cell]

***

2.
NdGaSi after structural relaxation, computed with GGA-PBE.

Values from the calculation:
**E**: -5.11 eV/atom

Lattice parameters (Å, degrees): 4.219 4.219 14.319 90.00 90.00 90.00
Space group I4_1md (No. 109)
Symmetry-distinct sites (fractional):
1 Nd 0.000 0.000 0.000 [4 per cell]
2 Ga 0.000 0.000 0.417 [4 per cell]
3 Si 0.000 0.000 0.583 [4 per cell]

***

3.
GdPbO3 after structural relaxation, computed with GGA-PBE.

Values from the calculation:
**E**: -6.77 eV/atom

Lattice parameters (Å, degrees): 6.085 8.536 5.838 90.00 90.00 90.00
Space group Pnma (No. 62)
Symmetry-distinct sites (fractional):
1 Gd 0.000 0.000 0.000 [4 per cell]
2 Pb 0.043 0.250 0.489 [4 per cell]
3 O 0.081 0.750 0.149 [4 per cell]
4 O 0.179 0.573 0.672 [8 per cell]

***

4.
Lu2B after structural relaxation, computed with GGA-PBE.

Values from the calculation:
**E**: -5.25 eV/atom

Lattice parameters (Å, degrees): 6.247 6.247 6.247 90.00 90.00 90.00
Space group Fm-3m (No. 225)
Symmetry-distinct sites (fractional):
1 Lu 0.250 0.250 0.250 [8 per cell]
2 B 0.000 0.000 0.000 [4 per cell]

***

5.
LuMgSbOs after structural relaxation, computed with GGA-PBE.

Values from the calculation:
**E**: -5.40 eV/atom

Lattice parameters (Å, degrees): 6.743 6.743 6.743 90.00 90.00 90.00
Space group F-43m (No. 216)
Symmetry-distinct sites (fractional):
1 Lu 0.000 0.000 0.000 [4 per cell]
2 Mg 0.250 0.250 0.750 [4 per cell]
3 Sb 0.250 0.250 0.250 [4 per cell]
4 Os 0.000 0.000 0.500 [4 per cell]

***

6.
LuCdCuB after structural relaxation, computed with GGA-PBE.

Values from the calculation:
**E**: -3.38 eV/atom

Lattice parameters (Å, degrees): 6.386 6.386 6.386 90.00 90.00 90.00
Space group F-43m (No. 216)
Symmetry-distinct sites (fractional):
1 Lu 0.000 0.000 0.000 [4 per cell]
2 Cd 0.250 0.250 0.250 [4 per cell]
3 Cu 0.250 0.250 0.750 [4 per cell]
4 B 0.000 0.000 0.500 [4 per cell]

***

7.
TbBiNO after structural relaxation, computed with GGA-PBE.

Values from the calculation:
**E**: -6.65 eV/atom

Lattice parameters (Å, degrees): 3.746 6.954 5.891 90.00 90.00 90.00
Space group Pmc2_1 (No. 26)
Symmetry-distinct sites (fractional):
1 Tb 0.000 0.145 0.000 [2 per cell]
2 Bi 0.500 0.359 0.470 [2 per cell]
3 N 0.000 0.170 0.398 [2 per cell]
4 O 0.500 0.203 0.828 [2 per cell]

***

8.
ThTlOs after structural relaxation, computed with GGA-PBE.

Values from the calculation:
**E**: -6.16 eV/atom

Lattice parameters (Å, degrees): 6.824 6.824 6.824 90.00 90.00 90.00
Space group F-43m (No. 216)
Symmetry-distinct sites (fractional):
1 Th 0.000 0.000 0.000 [4 per cell]
2 Tl 0.250 0.250 0.750 [4 per cell]
3 Os 0.000 0.000 0.500 [4 per cell]